# 1
A relaxed KSc2Be crystal, computed with PBE.

## Properties
Crystal system = orthorhombic
ΔH_f (0 K) = 0.577 eV/atom
SG = No. 71

Lattice parameters (Å, degrees): 6.567 6.567 6.567 152.07 127.84 60.20
Positions (direct):
Sc  0.944  0.944  0.000
Sc  0.556  0.556  0.000
Be  0.750  0.250  0.500
K  0.250  0.750  0.500

=====

# 2
A relaxed ErPbAu2 crystal, computed with PBE.

## Properties
Crystal system = tetragonal
ΔH_f (0 K) = -0.577 eV/atom
SG = No. 123

Lattice parameters (Å, degrees): 3.654 3.654 7.026 90.00 90.00 90.00
Positions (direct):
Pb  0.500  0.500  0.500
Au  0.000  0.000  0.780
Au  0.000  0.000  0.220
Er  0.500  0.500  0.000

=====

# 3
A relaxed TlHg2F8 crystal, computed with PBE.

## Properties
Crystal system = trigonal
SG = No. 147
E above lowest polymorph = 0.00 eV/f.u.
Formation energy without anion corrections = -1.363 eV per atom

Lattice parameters (Å, degrees): 4.402 7.076 7.076 120.02 90.00 90.00
Positions (direct):
Tl  0.000  0.000  0.000
Hg  0.241  0.333  0.667
Hg  0.759  0.667  0.333
F  0.258  0.667  0.333
F  0.742  0.333  0.667
F  0.743  0.846  0.152
F  0.257  0.152  0.306
F  0.257  0.694  0.846
F  0.257  0.154  0.848
F  0.743  0.848  0.694
F  0.743  0.306  0.154

=====

# 4
A relaxed Hf2InHRu crystal, computed with PBE.

## Properties
Crystal system = tetragonal
E = -7.324 eV/atom
SG = No. 123

Lattice parameters (Å, degrees): 4.486 4.486 3.901 90.00 90.00 90.00
Positions (direct):
Ru  0.000  0.000  0.500
Hf  0.000  0.500  0.000
Hf  0.500  0.000  0.000
H  0.000  0.000  0.000
In  0.500  0.500  0.500

=====

# 5
A relaxed K2I2Br crystal, computed with PBE.

## Properties
Crystal system = monoclinic
SG = No. 12
Formation energy without anion corrections = -1.143 eV per atom

Lattice parameters (Å, degrees): 4.748 7.156 7.231 89.05 70.83 70.62
Positions (direct):
K  0.256  0.242  0.245
K  0.744  0.758  0.755
I  0.501  0.335  0.663
I  0.499  0.665  0.337
Br  0.000  0.000  0.000

=====

# 6
A relaxed MnHRuAu crystal, computed with PBE.

## Properties
Crystal system = monoclinic
SG = No. 8
E above lowest polymorph = 0.08 eV/f.u.

Lattice parameters (Å, degrees): 7.230 2.761 4.805 90.00 102.68 90.00
Positions (direct):
Mn  0.475  0.000  0.299
Mn  0.475  0.500  0.799
H  0.572  0.000  0.998
H  0.572  0.500  0.498
Ru  0.199  0.000  0.541
Ru  0.199  0.500  0.041
Au  0.849  0.000  0.755
Au  0.849  0.500  0.255

=====

# 7
A relaxed Pa3B4C2 crystal, computed with PBE.

## Properties
Crystal system = orthorhombic
ΔH_f (0 K) = -0.198 eV/atom
SG = No. 71

Lattice parameters (Å, degrees): 3.871 6.507 6.507 51.78 72.69 72.69
Positions (direct):
Pa  0.337  0.163  0.163
Pa  0.500  0.500  0.500
Pa  0.663  0.837  0.837
B  0.871  0.797  0.462
B  0.129  0.538  0.203
B  0.129  0.203  0.538
B  0.871  0.462  0.797
C  0.000  0.778  0.222
C  0.000  0.222  0.778

=====

# 8
A relaxed NaErC2O6 crystal, computed with PBE.

## Properties
Crystal system = monoclinic
SG = No. 15
Formation energy without anion corrections = -2.123 eV per atom

Lattice parameters (Å, degrees): 6.257 6.257 6.916 100.10 100.10 106.04
Positions (direct):
Na  0.100  0.900  0.250
Na  0.900  0.100  0.750
Er  0.579  0.421  0.250
Er  0.421  0.579  0.750
C  0.414  0.124  0.758
C  0.876  0.586  0.742
C  0.586  0.876  0.242
C  0.124  0.414  0.258
O  0.945  0.477  0.245
O  0.523  0.055  0.255
O  0.055  0.523  0.755
O  0.477  0.945  0.745
O  0.148  0.253  0.128
O  0.747  0.852  0.372
O  0.852  0.747  0.872
O  0.253  0.148  0.628
O  0.305  0.527  0.408
O  0.473  0.695  0.092
O  0.695  0.473  0.592
O  0.527  0.305  0.908

=====

Taking the records one at a time from the top gives density of states at the Fermi level values of 4.20; 2.32; 3.55; 4.19; 0.85; 5.92; 3.69; 0.00 states/eV per cell.